(1)
Compound: Sc2BeV2
Source: Alexandria via LeMat-Bulk
Functional: PBE-GGA
Structure: relaxed

Computed properties:
Formation energy ... 0.29 eV/atom
ρ ... 3.95 g cm⁻³
Volume ... 168.7 Å³/cell
Raw total energy ... -66.340 eV for the cell shown
Total magnetization ... 3.231 Bohr magnetons per cell

a = 6.3341 Å, b = 6.3341 Å, c = 4.2040 Å
α = 90.00°, β = 90.00°, γ = 90.00°
Closest atoms and distances in Å follow each position.
Fractional coordinates of all 10 atoms:
Sc 0.1707 0.3293 0.0000  6 V 2.74-2.86, 1 Sc 3.06
Sc 0.3293 0.8293 0.0000  6 V 2.74-2.86, 1 Sc 3.06
Sc 0.6707 0.1707 0.0000  6 V 2.74-2.86, 1 Sc 3.06
Sc 0.8293 0.6707 0.0000  6 V 2.74-2.86, 1 Sc 3.06
Be 0.0000 0.0000 0.5000  4 V 2.47
Be 0.5000 0.5000 0.5000  4 V 2.47
V 0.1336 0.6336 0.5000  1 V 2.39, 2 Be 2.47
V 0.3664 0.1336 0.5000  1 V 2.39, 2 Be 2.47
V 0.6336 0.8664 0.5000  1 V 2.39, 2 Be 2.47
V 0.8664 0.3664 0.5000  1 V 2.39, 2 Be 2.47

(2)
Compound: Sc2Be2V
Source: Alexandria via LeMat-Bulk
Functional: PBE-GGA
Structure: relaxed

Computed properties:
Formation energy ... 0.15 eV/atom
ρ ... 3.23 g cm⁻³
Volume ... 163.3 Å³/cell
Raw total energy ... -56.949 eV for the cell shown
Total magnetization ... 7.829 Bohr magnetons per cell

a = 6.8501 Å, b = 6.8501 Å, c = 3.4807 Å
α = 90.00°, β = 90.00°, γ = 90.00°
Closest atoms and distances in Å follow each position.
Fractional coordinates of all 10 atoms:
Sc 0.1819 0.3181 0.0000  6 Be 2.64-2.71
Sc 0.3181 0.8181 0.0000  6 Be 2.64-2.71
Sc 0.6819 0.1819 0.0000  6 Be 2.64-2.71
Sc 0.8181 0.6819 0.0000  6 Be 2.64-2.71
Be 0.1129 0.6129 0.5000  1 Be 2.19
Be 0.3871 0.1129 0.5000  1 Be 2.19
Be 0.6129 0.8871 0.5000  1 Be 2.19
Be 0.8871 0.3871 0.5000  1 Be 2.19
V 0.0000 0.0000 0.5000  4 Be 2.76, 8 Sc 3.05
V 0.5000 0.5000 0.5000  4 Be 2.76, 8 Sc 3.05

(3)
Compound: ScBe2V
Source: Alexandria via LeMat-Bulk
Functional: PBE-GGA
Structure: relaxed

Computed properties:
Formation energy ... 0.10 eV/atom
ρ ... 3.62 g cm⁻³
Volume ... 52.3 Å³/cell
Raw total energy ... -22.519 eV for the cell shown
Total magnetization ... 0.000 Bohr magnetons per cell
Energy above the lowest structure with this stoichiometry ... 86 meV per atom

a = 4.1969 Å, b = 4.1969 Å, c = 4.1969 Å
α = 60.00°, β = 60.00°, γ = 60.00°
Closest atoms and distances in Å follow each position.
Fractional coordinates of all 4 atoms:
Sc 0.0000 0.0000 0.0000  8 Be 2.57
Be 0.2500 0.2500 0.2500  4 Sc 2.57, 4 V 2.57
Be 0.7500 0.7500 0.7500  4 Sc 2.57, 4 V 2.57
V 0.5000 0.5000 0.5000  8 Be 2.57

(4)
Compound: ScBeV3
Source: Alexandria via LeMat-Bulk
Functional: PBE-GGA
Structure: relaxed

Computed properties:
Formation energy ... 0.59 eV/atom
ρ ... 4.46 g cm⁻³
Volume ... 77.0 Å³/cell
Raw total energy ... -34.465 eV for the cell shown
Total magnetization ... 0.000 Bohr magnetons per cell
Energy above the lowest structure with this stoichiometry ... 0 meV per atom

a = 4.2551 Å, b = 4.2551 Å, c = 4.2551 Å
α = 90.00°, β = 90.00°, γ = 90.00°
Closest atoms and distances in Å follow each position.
Fractional coordinates of all 5 atoms:
Sc 0.0000 0.0000 0.0000  12 V 3.01
Be 0.5000 0.5000 0.5000  6 V 2.13
V 0.0000 0.5000 0.5000  2 Be 2.13
V 0.5000 0.0000 0.5000  2 Be 2.13
V 0.5000 0.5000 0.0000  2 Be 2.13

(5)
Compound: ScBe2V2
Source: Alexandria via LeMat-Bulk
Functional: PBE-GGA
Structure: relaxed

Computed properties:
Formation energy ... 0.14 eV/atom
ρ ... 4.16 g cm⁻³
Volume ... 131.5 Å³/cell
Raw total energy ... -62.639 eV for the cell shown
Total magnetization ... 0.001 Bohr magnetons per cell

a = 6.7282 Å, b = 6.7282 Å, c = 2.9047 Å
α = 90.00°, β = 90.00°, γ = 90.00°
Closest atoms and distances in Å follow each position.
Fractional coordinates of all 10 atoms:
Sc 0.0000 0.0000 0.0000  4 Be 2.71, 8 V 2.88, 2 Sc 2.90
Sc 0.5000 0.5000 0.0000  4 Be 2.71, 8 V 2.88, 2 Sc 2.90
Be 0.1132 0.3868 0.0000  1 Be 2.15
Be 0.3868 0.8868 0.0000  1 Be 2.15
Be 0.6132 0.1132 0.0000  1 Be 2.15
Be 0.8868 0.6132 0.0000  1 Be 2.15
V 0.1758 0.6758 0.5000  6 Be 2.46-2.48
V 0.3242 0.1758 0.5000  6 Be 2.46-2.48
V 0.6758 0.8242 0.5000  6 Be 2.46-2.48
V 0.8242 0.3242 0.5000  6 Be 2.46-2.48

(6)
Compound: ScBe2VZn
Source: Alexandria via LeMat-Bulk
Functional: PBE-GGA
Structure: relaxed

Computed properties:
Formation energy ... 1.02 eV/atom
ρ ... 3.53 g cm⁻³
Volume ... 84.3 Å³/cell
Raw total energy ... -19.091 eV for the cell shown
Total magnetization ... 0.000 Bohr magnetons per cell

a = 4.4119 Å, b = 4.4119 Å, c = 4.3323 Å
α = 90.00°, β = 90.00°, γ = 90.00°
Closest atoms and distances in Å follow each position.
Fractional coordinates of all 5 atoms:
Sc 0.0000 0.0000 0.0000  2 V 2.17
Be 0.0000 0.5000 0.5000  2 V 2.21
Be 0.5000 0.0000 0.5000  2 V 2.21
V 0.0000 0.0000 0.5000  2 Sc 2.17, 4 Be 2.21
Zn 0.5000 0.5000 0.0000  8 Be 3.09, 4 Sc 3.12

(7)
Compound: ScBe4W
Source: Alexandria via LeMat-Bulk
Functional: PBE-GGA
Structure: relaxed

Computed properties:
Formation energy ... -0.03 eV/atom
ρ ... 6.36 g cm⁻³
Volume ... 69.1 Å³/cell
Raw total energy ... -34.354 eV for the cell shown
Total magnetization ... 1.431 Bohr magnetons per cell

a = 4.6067 Å, b = 4.6067 Å, c = 4.6067 Å
α = 60.00°, β = 60.00°, γ = 60.00°
Closest atoms and distances in Å follow each position.
Fractional coordinates of all 6 atoms:
Sc 0.0000 0.0000 0.0000  12 Be 2.71, 4 W 2.82
Be 0.3775 0.3775 0.3775  6 Be 2.26-2.35
Be 0.3775 0.3775 0.8674  6 Be 2.26-2.35
Be 0.3775 0.8674 0.3775  6 Be 2.26-2.35
Be 0.8674 0.3775 0.3775  6 Be 2.26-2.35
W 0.7500 0.7500 0.7500  12 Be 2.70, 4 Sc 2.82

(8)
Compound: ScBeW2
Source: Alexandria via LeMat-Bulk
Functional: PBE-GGA
Structure: relaxed

Computed properties:
Formation energy ... 0.22 eV/atom
ρ ... 11.38 g cm⁻³
Volume ... 61.5 Å³/cell
Raw total energy ... -35.070 eV for the cell shown
Total magnetization ... 0.000 Bohr magnetons per cell

a = 2.7468 Å, b = 2.7468 Å, c = 8.2300 Å
α = 90.00°, β = 90.00°, γ = 97.90°
Closest atoms and distances in Å follow each position.
Fractional coordinates of all 4 atoms:
Sc 0.0000 0.0000 0.0000  4 Sc 2.75, 4 W 3.01
Be 0.0000 0.0000 0.5000  8 W 2.48-2.68, 4 Be 2.75
W 0.5000 0.5000 0.2935  4 Be 2.48-2.68, 4 W 2.75
W 0.5000 0.5000 0.7065  4 Be 2.48-2.68, 4 W 2.75

(9)
Compound: ScBeW2
Source: Alexandria via LeMat-Bulk
Functional: PBE-GGA
Structure: relaxed

Computed properties:
Formation energy ... 0.46 eV/atom
ρ ... 11.08 g cm⁻³
Volume ... 63.2 Å³/cell
Raw total energy ... -34.116 eV for the cell shown
Total magnetization ... 0.000 Bohr magnetons per cell

a = 8.9536 Å, b = 8.9536 Å, c = 8.9536 Å
α = 18.51°, β = 18.51°, γ = 18.51°
Closest atoms and distances in Å follow each position.
Fractional coordinates of all 4 atoms:
Sc 0.0000 0.0000 0.0000  6 Sc 2.88, 6 W 2.97
Be 0.5000 0.5000 0.5000  6 W 2.56
W 0.2402 0.2402 0.2402  3 Be 2.56
W 0.7598 0.7598 0.7598  3 Be 2.56

(10)
Compound: ScBe2W
Source: Alexandria via LeMat-Bulk
Functional: PBE-GGA
Structure: relaxed

Computed properties:
Formation energy ... 0.13 eV/atom
ρ ... 7.67 g cm⁻³
Volume ... 53.4 Å³/cell
Raw total energy ... -26.209 eV for the cell shown
Total magnetization ... 0.173 Bohr magnetons per cell
Energy above the lowest structure with this stoichiometry ... 95 meV per atom

a = 4.4236 Å, b = 4.4236 Å, c = 2.7571 Å
α = 90.00°, β = 90.00°, γ = 97.87°
Closest atoms and distances in Å follow each position.
Fractional coordinates of all 4 atoms:
Sc 0.0000 0.0000 0.0000  8 Be 2.61, 2 Sc 2.76, 2 W 2.91
Be 0.0000 0.5000 0.5000  4 W 2.61, 4 Sc 2.61, 4 Be 2.76-2.91
Be 0.5000 0.0000 0.5000  4 W 2.61, 4 Sc 2.61, 4 Be 2.76-2.91
W 0.5000 0.5000 0.0000  8 Be 2.61, 2 W 2.76, 2 Sc 2.91

(11)
Compound: Sc2Be2W
Source: Alexandria via LeMat-Bulk
Functional: PBE-GGA
Structure: relaxed

Computed properties:
Formation energy ... 0.21 eV/atom
ρ ... 6.22 g cm⁻³
Volume ... 155.8 Å³/cell
Raw total energy ... -64.087 eV for the cell shown
Total magnetization ... 0.000 Bohr magnetons per cell
Energy above the lowest structure with this stoichiometry ... 0 meV per atom

a = 7.0982 Å, b = 7.0982 Å, c = 3.0919 Å
α = 90.00°, β = 90.00°, γ = 90.00°
Closest atoms and distances in Å follow each position.
Fractional coordinates of all 10 atoms:
Sc 0.1854 0.3146 0.0000  6 Be 2.57-2.66
Sc 0.3146 0.8146 0.0000  6 Be 2.57-2.66
Sc 0.6854 0.1854 0.0000  6 Be 2.57-2.66
Sc 0.8146 0.6854 0.0000  6 Be 2.57-2.66
Be 0.1096 0.6096 0.5000  1 Be 2.20
Be 0.3904 0.1096 0.5000  1 Be 2.20
Be 0.6096 0.8904 0.5000  1 Be 2.20
Be 0.8904 0.3904 0.5000  1 Be 2.20
W 0.0000 0.0000 0.5000  4 Be 2.88, 8 Sc 3.02, 2 W 3.09
W 0.5000 0.5000 0.5000  4 Be 2.88, 8 Sc 3.02, 2 W 3.09

(12)
Compound: ScBe2W
Source: Alexandria via LeMat-Bulk
Functional: PBE-GGA
Structure: relaxed

Computed properties:
Formation energy ... 0.68 eV/atom
ρ ... 7.21 g cm⁻³
Volume ... 56.8 Å³/cell
Raw total energy ... -24.034 eV for the cell shown
Total magnetization ... 0.000 Bohr magnetons per cell
Energy above the lowest structure with this stoichiometry ... 639 meV per atom

a = 4.3157 Å, b = 4.3157 Å, c = 4.3157 Å
α = 60.00°, β = 60.00°, γ = 60.00°
Closest atoms and distances in Å follow each position.
Fractional coordinates of all 4 atoms:
Sc 0.0000 0.0000 0.0000  4 W 2.64, 4 Be 2.64
Be 0.5000 0.5000 0.5000  4 W 2.64, 4 Be 2.64
Be 0.7500 0.7500 0.7500  4 Be 2.64, 4 Sc 2.64
W 0.2500 0.2500 0.2500  4 Be 2.64, 4 Sc 2.64

(13)
Compound: ScBeW2
Source: Alexandria via LeMat-Bulk
Functional: PBE-GGA
Structure: relaxed

Computed properties:
Formation energy ... 0.27 eV/atom
ρ ... 11.05 g cm⁻³
Volume ... 63.4 Å³/cell
Raw total energy ... -34.877 eV for the cell shown
Total magnetization ... 0.000 Bohr magnetons per cell

a = 5.2488 Å, b = 5.2488 Å, c = 5.2488 Å
α = 143.39°, β = 132.00°, γ = 61.84°
Closest atoms and distances in Å follow each position.
Fractional coordinates of all 4 atoms:
Sc 0.0000 0.0000 0.0000  4 Be 2.70, 4 W 2.88
Be 0.5000 0.5000 0.0000  4 Sc 2.70, 4 W 2.70
W 0.2620 0.7620 0.5000  2 Be 2.70, 4 W 2.71, 4 Sc 2.88-3.02
W 0.7380 0.2380 0.5000  2 Be 2.70, 4 W 2.71, 4 Sc 2.88-3.02

(14)
Compound: ScBe2W
Source: Alexandria via LeMat-Bulk
Functional: PBE-GGA
Structure: relaxed

Computed properties:
Formation energy ... 0.45 eV/atom
ρ ... 7.01 g cm⁻³
Volume ... 58.5 Å³/cell
Raw total energy ... -24.941 eV for the cell shown
Total magnetization ... 0.000 Bohr magnetons per cell
Energy above the lowest structure with this stoichiometry ... 412 meV per atom

a = 8.2654 Å, b = 8.2654 Å, c = 8.2654 Å
α = 20.12°, β = 20.12°, γ = 20.12°
Closest atoms and distances in Å follow each position.
Fractional coordinates of all 4 atoms:
Sc 0.0000 0.0000 0.0000  6 Be 2.73, 6 Sc 2.89
Be 0.2442 0.2442 0.2442  3 W 2.52, 3 Sc 2.73
Be 0.7558 0.7558 0.7558  3 W 2.52, 3 Sc 2.73
W 0.5000 0.5000 0.5000  6 Be 2.52